The following is a PBEsol calculation of an optimized crystal structure of TiZnBiO5, from Alexandria.

```
TiZnBiO5
1.0
5.0853 0.0000 0.0000
0.0000 10.6542 0.0000
0.0000 0.0000 15.3786
Ti Zn Bi O
8 8 8 40
Cartesian
0.5236 6.9746 5.9570 Ti
2.0191 1.6474 9.4216 Ti
4.5617 3.6797 9.4216 Ti
3.0662 9.0068 5.9570 Ti
4.5617 9.0068 13.6463 Ti
0.5236 1.6474 1.7323 Ti
2.0191 6.9746 13.6463 Ti
3.0662 3.6797 1.7323 Ti
2.6731 6.7234 8.0419 Zn
0.1304 9.2579 8.0419 Zn
0.1304 3.9308 15.0260 Zn
4.9549 6.7234 0.3526 Zn
2.4122 9.2579 0.3526 Zn
4.9549 1.3963 7.3367 Zn
2.4122 3.9308 7.3367 Zn
2.6731 1.3963 15.0260 Zn
4.1816 1.4735 12.1174 Bi
0.9037 9.1807 3.2612 Bi
3.4463 6.8006 3.2612 Bi
0.9037 3.8536 4.4281 Bi
1.6390 9.1807 10.9505 Bi
1.6390 3.8536 12.1174 Bi
3.4463 1.4735 4.4281 Bi
4.1816 6.8006 10.9505 Bi
1.8961 7.6066 4.6404 O
3.6178 10.2925 14.4904 O
4.0102 4.9654 0.8882 O
2.4057 2.0724 13.2406 O
0.1370 7.3996 2.1379 O
1.8961 2.2795 3.0489 O
0.1370 2.0724 5.5513 O
0.6466 2.2795 10.7382 O
3.6178 4.9654 8.5774 O
3.1892 3.0476 10.7382 O
0.6466 7.6066 12.3297 O
1.5692 8.4452 6.9816 O
1.0751 0.3617 8.5774 O
2.6796 3.2547 5.5513 O
4.7497 0.3902 2.9384 O
1.0751 5.6888 14.4904 O
3.1892 8.3747 12.3297 O
4.9483 8.5818 9.8272 O
4.1118 2.2090 0.7077 O
4.0102 10.2925 6.8011 O
3.5161 2.2090 8.3970 O
0.3357 10.2640 12.4402 O
2.6796 8.5818 2.1379 O
2.2070 10.2640 4.7509 O
3.5161 7.5361 14.6709 O
4.1118 7.5361 6.9816 O
1.4675 5.6888 6.8011 O
1.4675 0.3617 0.8882 O
2.2070 4.9369 2.9384 O
0.9735 3.1181 8.3970 O
0.9735 8.4452 14.6709 O
1.5692 3.1181 0.7077 O
0.3357 4.9369 10.6277 O
4.9483 3.2547 13.2406 O
2.4057 7.3996 9.8272 O
4.7497 5.7173 4.7509 O
2.8783 5.7173 12.4402 O
4.4387 8.3747 4.6404 O
2.8783 0.3902 10.6277 O
4.4387 3.0476 3.0489 O
```

The calculated volume comes out at 833.2 Å³/cell. The value obtained for the total energy is -6.87 eV/atom. The value obtained for the energy relative to the elements, uncorrected is -1.8109 eV/atom. The calculation puts the energy above the most stable polymorph in this dataset at 0.0 kJ/mol of atoms.